1.
Here is crystalline Zr2ZnW at its relaxed geometry from the Alexandria database. Energies are from GGA-PBE.

```
Zr2ZnW
1.0
7.5182 0.0000 0.0000
0.0000 7.5182 0.0000
3.7591 3.7591 2.8117
Zr W Zn
4 2 2
direct
0.8750 0.8722 0.7500
0.1278 0.6250 0.2500
0.6222 0.1250 0.2500
0.3750 0.3778 0.7500
0.7500 0.2500 0.5000
0.0000 0.0000 0.0000
0.5000 0.5000 0.0000
0.2500 0.7500 0.5000
```

- Space-group type: No. 122
- Uncorrected energy: -29.36 eV/f.u.

=====

2.
Here is crystalline Zn4Cu7Pt at its relaxed geometry from the Alexandria database. Energies are from GGA-PBE.

```
Zn4Cu7Pt
1.0
-4.8566 1.3517 1.4595
-3.4868 -3.7147 6.0543
1.6785 1.8889 3.8563
Cu Zn Pt
7 4 1
direct
0.2512 0.0021 0.5009
0.2488 0.6652 0.8289
0.9993 0.6637 0.3342
0.5000 0.0000 0.0000
0.0007 0.3363 0.6658
0.7512 0.3348 0.1711
0.7488 0.9979 0.4991
0.4952 0.6689 0.3301
0.7484 0.6735 0.8271
0.5048 0.3311 0.6699
0.2516 0.3265 0.1729
0.0000 0.0000 0.0000
```

- Space-group type: No. 2
- Uncorrected energy: -41.19 eV/f.u.

=====

3.
Here is crystalline SiGe2As at its relaxed geometry from the Alexandria database. Energies are from GGA-PBE.

```
SiGe2As
1.0
0.0000 3.3164 3.3164
3.3164 0.0000 3.3164
3.3164 3.3164 0.0000
Si Ge As
1 2 1
direct
0.0000 0.0000 0.0000
0.2500 0.2500 0.2500
0.7500 0.7500 0.7500
0.5000 0.5000 0.5000
```

- Space-group type: No. 225
- Uncorrected formation energy: 0.4424 eV per atom
- E above lowest polymorph: 288.0 meV/atom

=====

| no. | N(E_F) (states/eV/f.u.) |
| --- | --- |
| 1 | 3.3 |
| 2 | 4.5 |
| 3 | 1.6 |